No. 1
NaDyGa2: relaxed, PBE.

Cell lengths 3.6619, 4.9416, 4.9416 Å; angles 90.00, 90.00, 90.00 degrees
Element x y z (fractional)
Ga (0.0000, 0.5000, 0.0000)
Ga (0.0000, 0.0000, 0.5000)
Dy (0.5000, 0.0000, 0.0000)
Na (0.5000, 0.5000, 0.5000)

Results
calculated volume = 22.36 A^3/atom
energy of formation from the pure elements = -310 meV per atom
polymorph energy (0 for the lowest one) = 0.0 meV/atom
SG = P4/mmm, No. 123



No. 2
Mn2Pd2Pb: relaxed, PBE.

Cell lengths 3.2815, 3.2815, 7.9020 Å; angles 78.02, 78.02, 90.00 degrees
Element x y z (fractional)
Pd (0.6134, 0.6134, 0.7732)
Mn (0.7500, 0.2500, 0.5000)
Mn (0.2500, 0.7500, 0.5000)
Pd (0.3866, 0.3866, 0.2268)
Pb (0.0000, 0.0000, 0.0000)

Results
calculated volume = 16.27 A^3/atom
energy of formation from the pure elements = 317 meV per atom
SG = I4/mmm, No. 139



No. 3
LiHoAg2F6: relaxed, PBE.

Cell lengths 5.7479, 5.9093, 8.3231 Å; angles 90.00, 91.15, 90.00 degrees
Element x y z (fractional)
Li (0.0000, 0.5000, 0.0000)
F (0.7154, 0.2918, 0.9414)
F (0.6079, 0.0321, 0.2529)
Ag (0.0184, 0.9520, 0.2506)
Ag (0.9816, 0.0480, 0.7494)
F (0.2154, 0.2082, 0.4414)
Ag (0.4816, 0.4520, 0.2494)
F (0.2846, 0.7082, 0.0586)
F (0.7846, 0.7918, 0.5586)
F (0.7043, 0.2822, 0.5521)
F (0.1079, 0.4679, 0.7529)
Ho (0.0000, 0.5000, 0.5000)
Ho (0.5000, 0.0000, 0.0000)
Li (0.5000, 0.0000, 0.5000)
F (0.2043, 0.2178, 0.0521)
Ag (0.5184, 0.5480, 0.7506)
F (0.2957, 0.7178, 0.4479)
F (0.3921, 0.9679, 0.7471)
F (0.7957, 0.7822, 0.9479)
F (0.8921, 0.5321, 0.2471)

Results
calculated volume = 14.13 A^3/atom
raw formation energy = -2.60 eV per atom
SG = P2_1/c, No. 14



No. 4
ReIr3W: relaxed, PBE.

Cell lengths 4.7796, 5.5256, 6.1597 Å; angles 102.79, 97.35, 106.67 degrees
Element x y z (fractional)
Re (0.6257, 0.7322, 0.2694)
Ir (0.6262, 0.2394, 0.2856)
W (0.8194, 0.1407, 0.6821)
Ir (0.0270, 0.5445, 0.0832)
Ir (0.8161, 0.6429, 0.6721)
W (0.2245, 0.4377, 0.4719)
Re (0.4183, 0.8463, 0.8847)
Ir (0.2278, 0.9356, 0.4820)
Ir (0.0170, 0.0340, 0.0709)
Ir (0.4178, 0.3390, 0.8685)

Results
calculated volume = 14.88 A^3/atom
energy of formation from the pure elements = -193 meV per atom
polymorph energy (0 for the lowest one) = 0.0 meV/atom
SG = P-1, No. 2



Calculated density per entry: 6034, 10818, 5894, 21136 kg/m3
Total magnetization per entry: 0.0, 0.0, 0.3, 0.0 μB per cell